Record 1
The following is a DFT calculation (GGA-PBE) of a relaxed structure of PrNd2Ho12.

Output
Uncorrected energy = -4.30 eV per atom
V = 34.4 Å³/atom
Magnetization = 0.0 μB/f.u.
Formation energy from the elements = 0.31 eV/atom

Structure (CIF):
```
data_PrNd2Ho12
_space_group_name_H-M_alt 'P 4/n b m'
_space_group_IT_number 125
_cell_length_a 6.416
_cell_length_b 6.416
_cell_length_c 25.073
_cell_angle_alpha 90.00
_cell_angle_beta 90.00
_cell_angle_gamma 90.00
loop_
_space_group_symop_operation_xyz
'x,y,z'
'-x,-y,-z'
'-y+1/2,x,z'
'y+1/2,-x,-z'
'-x+1/2,-y+1/2,z'
'x+1/2,y+1/2,-z'
'y,-x+1/2,z'
'-y,x+1/2,-z'
'x,-y+1/2,-z'
'-x,y+1/2,z'
'-y+1/2,-x+1/2,-z'
'y+1/2,x+1/2,z'
'-x+1/2,y,-z'
'x+1/2,-y,z'
'y,x,-z'
'-y,-x,z'
loop_
_atom_site_label
_atom_site_type_symbol
_atom_site_fract_x
_atom_site_fract_y
_atom_site_fract_z
_atom_site_occupancy
Pr1 Pr 0.250 0.750 0.000 1
Nd1 Nd 0.250 0.750 0.274 1
Ho1 Ho 0.066 0.566 0.118 1
Ho2 Ho 0.081 0.581 0.440 1
Ho3 Ho 0.250 0.250 0.217 1
Ho4 Ho 0.250 0.250 0.341 1
```


Record 2
The following is a DFT calculation (GGA-PBE) of a relaxed structure of Dy6Ho3Er2Pu.

Output
Uncorrected energy = -5.36 eV per atom
V = 30.7 Å³/atom
Magnetization = 6.6 μB/f.u.
Formation energy from the elements = 0.04 eV/atom

Structure (CIF):
```
data_Dy6Ho3Er2Pu
_space_group_name_H-M_alt 'C 1 2/m 1'
_space_group_IT_number 12
_cell_length_a 6.096
_cell_length_b 10.559
_cell_length_c 11.635
_cell_angle_alpha 90.00
_cell_angle_beta 100.08
_cell_angle_gamma 90.00
loop_
_space_group_symop_operation_xyz
'x,y,z'
'-x,-y,-z'
'-x,y,-z'
'x,-y,z'
'x+1/2,y+1/2,z'
'-x+1/2,-y+1/2,-z'
'-x+1/2,y+1/2,-z'
'x+1/2,-y+1/2,z'
loop_
_atom_site_label
_atom_site_type_symbol
_atom_site_fract_x
_atom_site_fract_y
_atom_site_fract_z
_atom_site_occupancy
Dy1 Dy 0.247 0.000 0.252 1
Dy2 Dy 0.247 0.165 0.748 1
Ho1 Ho 0.000 0.167 0.000 1
Ho2 Ho 0.000 0.500 0.000 1
Er1 Er 0.000 0.333 0.500 1
Pu1 Pu 0.000 0.000 0.500 1
```


Record 3
The following is a DFT calculation (GGA-PBE) of a relaxed structure of Li2MgUSe4.

Output
ΔE_f (raw) = -1.22 eV/atom
Uncorrected energy = -5.05 eV per atom
V = 22.2 Å³/atom
Magnetization = 2.0 μB/f.u.

Structure (CIF):
```
data_Li2MgUSe4
_space_group_name_H-M_alt 'P 1 2/m 1'
_space_group_IT_number 10
_cell_length_a 6.827
_cell_length_b 4.009
_cell_length_c 6.863
_cell_angle_alpha 90.00
_cell_angle_beta 109.25
_cell_angle_gamma 90.00
loop_
_space_group_symop_operation_xyz
'x,y,z'
'-x,-y,-z'
'-x,y,-z'
'x,-y,z'
loop_
_atom_site_label
_atom_site_type_symbol
_atom_site_fract_x
_atom_site_fract_y
_atom_site_fract_z
_atom_site_occupancy
Li1 Li 0.000 0.000 0.000 1
Li2 Li 0.500 0.500 0.000 1
Mg1 Mg 0.000 0.500 0.500 1
U1 U 0.500 0.000 0.500 1
Se1 Se 0.242 0.000 0.743 1
Se2 Se 0.246 0.500 0.244 1
```


Record 4
The following is a DFT calculation (GGA-PBE) of a relaxed structure of La5TbPm4.

Output
Uncorrected energy = -4.81 eV per atom
V = 35.6 Å³/atom
Magnetization = 0.0 μB/f.u.
Formation energy from the elements = 0.02 eV/atom

Structure (CIF):
```
data_La5TbPm4
_space_group_name_H-M_alt 'P 4/m m m'
_space_group_IT_number 123
_space_group_name_Hall '-P 4 2'
_cell_length_a 3.718
_cell_length_b 3.718
_cell_length_c 25.735
_cell_angle_alpha 90.00
_cell_angle_beta 90.00
_cell_angle_gamma 90.00
loop_
_atom_site_label
_atom_site_type_symbol
_atom_site_fract_x
_atom_site_fract_y
_atom_site_fract_z
_atom_site_occupancy
La1 La 0.000 0.000 0.000 1
La2 La 0.000 0.000 0.201 1
La3 La 0.000 0.000 0.402 1
Tb1 Tb 0.500 0.500 0.500 1
Pm1 Pm 0.500 0.500 0.101 1
Pm2 Pm 0.500 0.500 0.302 1
```


Record 5
The following is a DFT calculation (GGA-PBE) of a relaxed structure of Ba2URhSe6.

Output
ΔE_f (raw) = -1.23 eV/atom
Uncorrected energy = -5.57 eV per atom
V = 27.9 Å³/atom
Magnetization = 1.0 μB/f.u.

Structure (CIF):
```
data_Ba2URhSe6
_space_group_name_H-M_alt 'F m -3 m'
_space_group_IT_number 225
_space_group_name_Hall '-F 4 2 3'
_cell_length_a 10.366
_cell_length_b 10.366
_cell_length_c 10.366
_cell_angle_alpha 90.00
_cell_angle_beta 90.00
_cell_angle_gamma 90.00
loop_
_atom_site_label
_atom_site_type_symbol
_atom_site_fract_x
_atom_site_fract_y
_atom_site_fract_z
_atom_site_occupancy
Ba1 Ba 0.250 0.250 0.250 1
U1 U 0.000 0.000 0.000 1
Rh1 Rh 0.000 0.000 0.500 1
Se1 Se 0.000 0.000 0.260 1
```


Record 6
The following is a DFT calculation (GGA-PBE) of a relaxed structure of CrGaMo3.

Output
Uncorrected energy = -7.18 eV per atom
V = 18.6 Å³/atom
Magnetization = 0.0 μB/f.u.
Formation energy from the elements = 1.85 eV/atom

Structure (CIF):
```
data_CrGaMo3
_space_group_name_H-M_alt 'P m -3 m'
_space_group_IT_number 221
_space_group_name_Hall '-P 4 2 3'
_cell_length_a 4.532
_cell_length_b 4.532
_cell_length_c 4.532
_cell_angle_alpha 90.00
_cell_angle_beta 90.00
_cell_angle_gamma 90.00
loop_
_atom_site_label
_atom_site_type_symbol
_atom_site_fract_x
_atom_site_fract_y
_atom_site_fract_z
_atom_site_occupancy
Cr1 Cr 0.000 0.000 0.000 1
Ga1 Ga 0.500 0.500 0.500 1
Mo1 Mo 0.000 0.500 0.500 1
```


Record 7
The following is a DFT calculation (GGA-PBE) of a relaxed structure of CaRuRhAu2.

Output
Uncorrected energy = -3.50 eV per atom
V = 24.4 Å³/atom
Magnetization = 3.0 μB/f.u.
Formation energy from the elements = 1.53 eV/atom

Structure (CIF):
```
data_CaRuRhAu2
_space_group_name_H-M_alt 'P 4/m m m'
_space_group_IT_number 123
_space_group_name_Hall '-P 4 2'
_cell_length_a 5.098
_cell_length_b 5.098
_cell_length_c 4.684
_cell_angle_alpha 90.00
_cell_angle_beta 90.00
_cell_angle_gamma 90.00
loop_
_atom_site_label
_atom_site_type_symbol
_atom_site_fract_x
_atom_site_fract_y
_atom_site_fract_z
_atom_site_occupancy
Ca1 Ca 0.000 0.000 0.000 1
Ru1 Ru 0.500 0.500 0.500 1
Rh1 Rh 0.000 0.000 0.500 1
Au1 Au 0.000 0.500 0.000 1
```


Record 8
The following is a DFT calculation (GGA-PBE) of a relaxed structure of CdCu2Ir.

Output
Uncorrected energy = -4.27 eV per atom
V = 14.9 Å³/atom
Magnetization = 0.0 μB/f.u.
Formation energy from the elements = 0.22 eV/atom

Structure (CIF):
```
data_CdCu2Ir
_space_group_name_H-M_alt 'C m m m'
_space_group_IT_number 65
_space_group_name_Hall '-C 2 2'
_cell_length_a 2.877
_cell_length_b 4.613
_cell_length_c 9.003
_cell_angle_alpha 90.00
_cell_angle_beta 90.00
_cell_angle_gamma 90.00
loop_
_atom_site_label
_atom_site_type_symbol
_atom_site_fract_x
_atom_site_fract_y
_atom_site_fract_z
_atom_site_occupancy
Cd1 Cd 0.000 0.000 0.000 1
Cu1 Cu 0.000 0.500 0.262 1
Ir1 Ir 0.000 0.000 0.500 1
```


Record 9
The following is a DFT calculation (GGA-PBE) of a relaxed structure of DyAgAs2O8.

Output
ΔE_f (raw) = -1.37 eV/atom
Uncorrected energy = -6.07 eV per atom
V = 13.7 Å³/atom
Magnetization = 1.6 μB/f.u.

Structure (CIF):
```
data_DyAgAs2O8
_space_group_name_H-M_alt 'I -4 m 2'
_space_group_IT_number 119
_space_group_name_Hall 'I -4 -2'
_cell_length_a 7.126
_cell_length_b 7.126
_cell_length_c 6.470
_cell_angle_alpha 90.00
_cell_angle_beta 90.00
_cell_angle_gamma 90.00
loop_
_atom_site_label
_atom_site_type_symbol
_atom_site_fract_x
_atom_site_fract_y
_atom_site_fract_z
_atom_site_occupancy
Dy1 Dy 0.000 0.000 0.000 1
Ag1 Ag 0.000 0.500 0.250 1
As1 As 0.000 0.000 0.500 1
As2 As 0.000 0.500 0.750 1
O1 O 0.000 0.177 0.317 1
O2 O 0.000 0.315 0.919 1
```


Record 10
The following is a DFT calculation (GGA-PBE) of a relaxed structure of TaAlSi3.

Output
ΔE_f (raw) = 0.71 eV/atom
Uncorrected energy = -5.66 eV per atom
V = 23.6 Å³/atom
Magnetization = 0.0 μB/f.u.

Structure (CIF):
```
data_TaAlSi3
_space_group_name_H-M_alt 'P m -3 m'
_space_group_IT_number 221
_space_group_name_Hall '-P 4 2 3'
_cell_length_a 4.901
_cell_length_b 4.901
_cell_length_c 4.901
_cell_angle_alpha 90.00
_cell_angle_beta 90.00
_cell_angle_gamma 90.00
loop_
_atom_site_label
_atom_site_type_symbol
_atom_site_fract_x
_atom_site_fract_y
_atom_site_fract_z
_atom_site_occupancy
Ta1 Ta 0.000 0.000 0.000 1
Al1 Al 0.500 0.500 0.500 1
Si1 Si 0.000 0.000 0.500 1
```


Record 11
The following is a DFT calculation (GGA-PBE) of a relaxed structure of Tb6Te3As2Pb.

Output
ΔE_f (raw) = -1.31 eV/atom
Uncorrected energy = -5.50 eV per atom
V = 28.5 Å³/atom
Magnetization = 0.0 μB/f.u.

Structure (CIF):
```
data_Tb6Te3As2Pb
_space_group_name_H-M_alt 'C 1 2/m 1'
_space_group_IT_number 12
_cell_length_a 18.885
_cell_length_b 4.288
_cell_length_c 8.711
_cell_angle_alpha 90.00
_cell_angle_beta 104.01
_cell_angle_gamma 90.00
loop_
_space_group_symop_operation_xyz
'x,y,z'
'-x,-y,-z'
'-x,y,-z'
'x,-y,z'
'x+1/2,y+1/2,z'
'-x+1/2,-y+1/2,-z'
'-x+1/2,y+1/2,-z'
'x+1/2,-y+1/2,z'
loop_
_atom_site_label
_atom_site_type_symbol
_atom_site_fract_x
_atom_site_fract_y
_atom_site_fract_z
_atom_site_occupancy
Tb1 Tb 0.009 0.000 0.251 1
Tb2 Tb 0.167 0.500 0.108 1
Tb3 Tb 0.175 0.500 0.568 1
Te1 Te 0.000 0.500 0.500 1
Te2 Te 0.164 0.000 0.833 1
As1 As 0.168 0.000 0.337 1
Pb1 Pb 0.000 0.500 0.000 1
```


Record 12
The following is a DFT calculation (GGA-PBE) of a relaxed structure of LiCaBe2.

Output
Uncorrected energy = -2.49 eV per atom
V = 17.5 Å³/atom
Magnetization = 0.0 μB/f.u.
Formation energy from the elements = 0.35 eV/atom

Structure (CIF):
```
data_LiCaBe2
_space_group_name_H-M_alt 'I m m 2'
_space_group_IT_number 44
_cell_length_a 3.547
_cell_length_b 4.898
_cell_length_c 8.074
_cell_angle_alpha 90.00
_cell_angle_beta 90.00
_cell_angle_gamma 90.00
loop_
_space_group_symop_operation_xyz
'x,y,z'
'-x,-y,z'
'-x,y,z'
'x,-y,z'
'x+1/2,y+1/2,z+1/2'
'-x+1/2,-y+1/2,z+1/2'
'-x+1/2,y+1/2,z+1/2'
'x+1/2,-y+1/2,z+1/2'
loop_
_atom_site_label
_atom_site_type_symbol
_atom_site_fract_x
_atom_site_fract_y
_atom_site_fract_z
_atom_site_occupancy
Li1 Li 0.000 0.000 0.000 1
Ca1 Ca 0.000 0.500 0.809 1
Be1 Be 0.000 0.000 0.603 1
Be2 Be 0.000 0.500 0.244 1
```


Record 13
The following is a DFT calculation (GGA-PBE) of a relaxed structure of LaOsAu2.

Output
Uncorrected energy = -5.62 eV per atom
V = 20.4 Å³/atom
Magnetization = 0.8 μB/f.u.
Formation energy from the elements = 0.06 eV/atom

Structure (CIF):
```
data_LaOsAu2
_space_group_name_H-M_alt 'I 4/m m m'
_space_group_IT_number 139
_space_group_name_Hall '-I 4 2'
_cell_length_a 4.249
_cell_length_b 4.249
_cell_length_c 9.029
_cell_angle_alpha 90.00
_cell_angle_beta 90.00
_cell_angle_gamma 90.00
loop_
_atom_site_label
_atom_site_type_symbol
_atom_site_fract_x
_atom_site_fract_y
_atom_site_fract_z
_atom_site_occupancy
La1 La 0.000 0.000 0.000 1
Os1 Os 0.000 0.000 0.500 1
Au1 Au 0.000 0.500 0.250 1
```


Record 14
The following is a DFT calculation (GGA-PBE) of a relaxed structure of Mn3Br.

Output
ΔE_f (raw) = 0.74 eV/atom
Uncorrected energy = -6.55 eV per atom
V = 17.2 Å³/atom
Magnetization = 11.3 μB/f.u.

Structure (CIF):
```
data_Mn3Br
_space_group_name_H-M_alt 'R -3 m'
_space_group_IT_number 166
_space_group_name_Hall '-R 3 2"'
_cell_length_a 8.8500
_cell_length_b 8.8500
_cell_length_c 3.0373
_cell_angle_alpha 90.00
_cell_angle_beta 90.00
_cell_angle_gamma 120.00
loop_
_atom_site_label
_atom_site_type_symbol
_atom_site_fract_x
_atom_site_fract_y
_atom_site_fract_z
_atom_site_occupancy
Mn1 Mn 0.0000 0.5000 0.0000 1
Br1 Br 0.0000 0.0000 0.0000 1
```


Record 15
The following is a DFT calculation (GGA-PBE) of a relaxed structure of TlBi3Te.

Output
ΔE_f (raw) = 0.54 eV/atom
Uncorrected energy = -2.89 eV per atom
V = 42.3 Å³/atom
Magnetization = 0.0 μB/f.u.

Structure (CIF):
```
data_TlBi3Te
_space_group_name_H-M_alt 'P m -3 m'
_space_group_IT_number 221
_space_group_name_Hall '-P 4 2 3'
_cell_length_a 5.958
_cell_length_b 5.958
_cell_length_c 5.958
_cell_angle_alpha 90.00
_cell_angle_beta 90.00
_cell_angle_gamma 90.00
loop_
_atom_site_label
_atom_site_type_symbol
_atom_site_fract_x
_atom_site_fract_y
_atom_site_fract_z
_atom_site_occupancy
Tl1 Tl 0.000 0.000 0.000 1
Bi1 Bi 0.000 0.500 0.500 1
Te1 Te 0.500 0.500 0.500 1
```


Record 16
The following is a DFT calculation (GGA-PBE) of a relaxed structure of LaSbPb.

Output
ΔE_f (raw) = -0.18 eV/atom
Uncorrected energy = -4.43 eV per atom
V = 30.9 Å³/atom
Magnetization = 0.0 μB/f.u.

Structure (CIF):
```
data_LaSbPb
_space_group_name_H-M_alt 'P 3 m 1'
_space_group_IT_number 156
_cell_length_a 3.6212
_cell_length_b 3.6212
_cell_length_c 8.1669
_cell_angle_alpha 90.00
_cell_angle_beta 90.00
_cell_angle_gamma 120.00
loop_
_space_group_symop_operation_xyz
'x,y,z'
'-y,x-y,z'
'-x+y,-x,z'
'-y,-x,z'
'-x+y,y,z'
'x,x-y,z'
loop_
_atom_site_label
_atom_site_type_symbol
_atom_site_fract_x
_atom_site_fract_y
_atom_site_fract_z
_atom_site_occupancy
La1 La 0.0000 0.0000 0.0000 1
Sb1 Sb 0.3333 0.6667 0.6776 1
Pb1 Pb 0.6667 0.3333 0.3568 1
```